Record 1
Here is La2CdHg after structural relaxation from Alexandria. Energies are from PBEsol.

Unit cell a=3.8689 b=5.2490 c=6.3342 alpha=114.50 beta=107.78 gamma=90.00
Fractional coordinates of all 4 atoms:
La (0.9848, 0.9847, 0.9696)
La (0.7599, 0.2599, 0.5198)
Hg (0.2290, 0.7292, 0.4581)
Cd (0.5262, 0.5262, 0.0525)

Results
Fermi-level density of states (states/eV per cell): 3.11
Total magnetization (μB/atom): 0.0001
Space group: Imm2, No. 44
Calculated volume (Å³/f.u.): 110
Formation energy (eV/atom): -0.386

=====

Record 2
Here is Tl2Sb after structural relaxation from Alexandria. Energies are from PBEsol.

Unit cell a=3.3011 b=3.3011 c=16.5117 alpha=95.74 beta=95.74 gamma=90.00
Fractional coordinates of all 6 atoms:
Sb (0.0000, 0.0000, 0.0000)
Sb (0.2500, 0.7500, 0.5000)
Tl (0.4232, 0.4232, 0.8463)
Tl (0.8268, 0.3268, 0.6537)
Tl (0.5768, 0.5768, 0.1537)
Tl (0.6732, 0.1732, 0.3463)

Results
Fermi-level density of states (states/eV per cell): 2.07
Total magnetization (μB/atom): 0.0000
Space group: I4_1/amd, No. 141
Calculated volume (Å³/f.u.): 89
Energy relative to the elements, uncorrected (eV per atom): 0.0267

=====

Record 3
Here is CoSnTe2N after structural relaxation from Alexandria. Energies are from PBEsol.

Unit cell a=3.8162 b=5.7267 c=5.7267 alpha=90.00 beta=90.00 gamma=90.00
Fractional coordinates of all 5 atoms:
Te (0.0000, 0.0000, 0.5000)
Te (0.0000, 0.5000, 0.0000)
Co (0.5000, 0.5000, 0.5000)
Sn (0.0000, 0.0000, 0.0000)
N (0.5000, 0.0000, 0.0000)

Results
Fermi-level density of states (states/eV per cell): 5.82
Total magnetization (μB/atom): 0.5659
Space group: P4/mmm, No. 123
Calculated volume (Å³/f.u.): 125
Energy relative to the elements, uncorrected (eV per atom): 1.3143

=====

Record 4
Here is KBS4Cl4O12 after structural relaxation from Alexandria. Energies are from PBEsol.

Unit cell a=8.0916 b=10.6798 c=10.9960 alpha=83.07 beta=68.41 gamma=70.85
Fractional coordinates of all 44 atoms:
K (0.6499, 0.5961, 0.8402)
K (0.4900, 0.0961, 0.1598)
B (0.8788, 0.5002, 0.2452)
B (0.1240, 0.0002, 0.7548)
S (0.3965, 0.0544, 0.5456)
S (0.8044, 0.2030, 0.8112)
S (0.9420, 0.5544, 0.4544)
S (0.7485, 0.2902, 0.2975)
S (0.2541, 0.9495, 0.9554)
S (0.0460, 0.7902, 0.7025)
S (0.6156, 0.7030, 0.1888)
S (0.2095, 0.4495, 0.0446)
Cl (0.3062, 0.6585, 0.6500)
Cl (0.6453, 0.2284, 0.7016)
Cl (0.3470, 0.7284, 0.2984)
Cl (0.1388, 0.3832, 0.9130)
Cl (0.6610, 0.9373, 0.5087)
Cl (0.1698, 0.4373, 0.4913)
Cl (0.0518, 0.8832, 0.0870)
Cl (0.9562, 0.1585, 0.3500)
O (0.2798, 0.3374, 0.1172)
O (0.7100, 0.6164, 0.2831)
O (0.3229, 0.5317, 0.9758)
O (0.0200, 0.5412, 0.1324)
O (0.7333, 0.1292, 0.9252)
O (0.9348, 0.4610, 0.3604)
O (0.6443, 0.8302, 0.1746)
O (0.0229, 0.8565, 0.5862)
O (0.0548, 0.8847, 0.7950)
O (0.7863, 0.5672, 0.5745)
O (0.3609, 0.0672, 0.4255)
O (0.3702, 0.1710, 0.6115)
O (0.1524, 0.0412, 0.8676)
O (0.2952, 0.9610, 0.6396)
O (0.7031, 0.2192, 0.2183)
O (0.8498, 0.3847, 0.2050)
O (0.8189, 0.3302, 0.8254)
O (0.3971, 0.8374, 0.8828)
O (0.2987, 0.0317, 0.0242)
O (0.9931, 0.1164, 0.7169)
O (0.6585, 0.6292, 0.0748)
O (0.9214, 0.7192, 0.7817)
O (0.6090, 0.3565, 0.4138)
O (0.9817, 0.6710, 0.3885)

Results
Fermi-level density of states (states/eV per cell): 0.00
Total magnetization (μB/atom): 0.0000
Space group: Cc, No. 9
Calculated volume (Å³/f.u.): 417
Energy relative to the elements, uncorrected (eV per atom): -1.2831

=====

Record 5
Here is CsTm2Cu3Se5 after structural relaxation from Alexandria. Energies are from PBEsol.

Unit cell a=4.0330 b=7.4615 c=16.8902 alpha=90.00 beta=90.00 gamma=105.68
Fractional coordinates of all 22 atoms:
Cs (0.9394, 0.8787, 0.7500)
Cs (0.0606, 0.1213, 0.2500)
Tm (0.8073, 0.6145, 0.4084)
Tm (0.1927, 0.3855, 0.9084)
Tm (0.1927, 0.3855, 0.5916)
Tm (0.8073, 0.6145, 0.0916)
Cu (0.4157, 0.8313, 0.9692)
Cu (0.3450, 0.6900, 0.2500)
Cu (0.5843, 0.1687, 0.0308)
Cu (0.5843, 0.1687, 0.4692)
Cu (0.6550, 0.3100, 0.7500)
Cu (0.4157, 0.8313, 0.5308)
Se (0.5609, 0.1217, 0.6137)
Se (0.1683, 0.3365, 0.0709)
Se (0.4391, 0.8783, 0.3863)
Se (0.2404, 0.4808, 0.7500)
Se (0.8317, 0.6635, 0.5709)
Se (0.8317, 0.6635, 0.9291)
Se (0.4391, 0.8783, 0.1137)
Se (0.7596, 0.5192, 0.2500)
Se (0.1683, 0.3365, 0.4291)
Se (0.5609, 0.1217, 0.8863)

Results
Total magnetization (μB/atom): 0.0000
Space group: Cmcm, No. 63
Calculated volume (Å³/f.u.): 245
Energy relative to the elements, uncorrected (eV per atom): -1.1182

=====

Record 6
Here is In2NiMo after structural relaxation from Alexandria. Energies are from PBEsol.

Unit cell a=4.5354 b=4.5354 c=4.5354 alpha=60.00 beta=60.00 gamma=60.00
Fractional coordinates of all 4 atoms:
In (0.2500, 0.2500, 0.2500)
In (0.7500, 0.7500, 0.7500)
Mo (0.0000, 0.0000, 0.0000)
Ni (0.5000, 0.5000, 0.5000)

Results
Fermi-level density of states (states/eV per cell): 4.41
Total magnetization (μB/atom): 0.1390
Space group: Fm-3m, No. 225
Calculated volume (Å³/f.u.): 66
Formation energy (eV/atom): 0.344